[1]
TiAl2TlPt | GGA-PBE | relaxed

Computed properties:
Energy of formation   580 kJ/mol of formula units
Volume   125 Å³ per cell

Cell: 4.9862 4.9862 5.0207 Å, 90.00 90.00 90.00°
Last column: nearest neighbours and their distance in Å.
Sites, in units of the cell vectors:
Pt 0.0000 0.0000 0.5000  2 Tl 2.51
Al 0.5000 0.0000 0.0000  2 Tl 2.49
Al 0.0000 0.5000 0.0000  2 Tl 2.49
Ti 0.5000 0.5000 0.5000  4 Pt 3.53, 8 Al 3.54
Tl 0.0000 0.0000 0.0000  4 Al 2.49, 2 Pt 2.51

***

[2]
Tm2TiAl4Pt3 | GGA-PBE | relaxed

Computed properties:
Energy of formation   -885 kJ/mol of formula units
Volume   186 Å³ per cell

Cell: 4.0586 4.0586 11.2703 Å, 90.00 90.00 90.00°
Last column: nearest neighbours and their distance in Å.
Sites, in units of the cell vectors:
Pt 0.0000 0.5000 0.1352  5 Al 2.46-2.54
Pt 0.0000 0.0000 0.5000  4 Al 2.62, 4 Ti 2.87
Pt 0.5000 0.0000 0.8648  5 Al 2.46-2.54
Al 0.5000 0.0000 0.6467  3 Pt 2.46-2.62, 2 Ti 2.62
Al 0.5000 0.5000 0.0000  4 Pt 2.54
Al 0.0000 0.5000 0.3533  3 Pt 2.46-2.62, 2 Ti 2.62
Al 0.0000 0.0000 0.0000  4 Pt 2.54
Ti 0.5000 0.5000 0.5000  4 Al 2.62, 4 Pt 2.87
Tm 0.5000 0.0000 0.2486  8 Al 3.10-3.46, 4 Pt 3.14
Tm 0.0000 0.5000 0.7514  8 Al 3.10-3.46, 4 Pt 3.14

***

[3]
AlTl2Pt | GGA-PBE | relaxed

Computed properties:
Energy of formation   76 kJ/mol of formula units
ΔE to the lowest computed polymorph   0.441 eV per atom
Volume   87 Å³ per cell

Cell: 4.4522 4.4522 4.3949 Å, 90.00 90.00 90.36°
Last column: nearest neighbours and their distance in Å.
Sites, in units of the cell vectors:
Tl 0.5000 0.5000 0.0000  4 Pt 3.13, 4 Al 3.13, 4 Tl 3.14-3.16
Tl 0.0000 0.0000 0.0000  4 Al 3.13, 4 Pt 3.13, 4 Tl 3.14-3.16
Pt 0.0000 0.5000 0.5000  8 Tl 3.13, 4 Al 3.14-3.16
Al 0.5000 0.0000 0.5000  8 Tl 3.13, 4 Pt 3.14-3.16